# Sc5Ag4Pt PBE-GGA relaxed
# - V: 197.5 Å³ per cell
# - E_form: -10.96 kcal/mol of atoms
# - N(E_F): 6.1 states/eV/cell
# - Magnetic moment: 0.00 Bohr magnetons per cell
data_Sc5Ag4Pt
_space_group_name_H-M_alt 'P 4/m m m'
_space_group_IT_number 123
_space_group_name_Hall '-P 4 2'
_cell_length_a 3.399
_cell_length_b 3.399
_cell_length_c 17.098
_cell_angle_alpha 90.00
_cell_angle_beta 90.00
_cell_angle_gamma 90.00
loop_
_atom_site_label
_atom_site_type_symbol
_atom_site_fract_x
_atom_site_fract_y
_atom_site_fract_z
_atom_site_occupancy
Sc1 Sc 0.000 0.000 0.000 1
Sc2 Sc 0.000 0.000 0.204 1
Sc3 Sc 0.000 0.000 0.408 1
Ag1 Ag 0.500 0.500 0.101 1
Ag2 Ag 0.500 0.500 0.304 1
Pt1 Pt 0.500 0.500 0.500 1